The following is a DFT calculation (PBE) of a relaxed ScTcP3 crystal.

Cell and atoms, written as POSCAR:
```
ScTcP3
1.0
4.8494 0.0000 0.0000
0.0000 4.8494 0.0000
0.0000 0.0000 4.8494
Sc Tc P
1 1 3
direct
0.0000 0.0000 0.0000
0.5000 0.5000 0.5000
0.0000 0.0000 0.5000
0.0000 0.5000 0.0000
0.5000 0.0000 0.0000
```

Summary:
Energy of formation (eV per atom): 1.03
Energy above the most stable polymorph in this dataset (meV/atom): 824

The following is a DFT calculation (PBE) of a relaxed ScTcP crystal.

Cell and atoms, written as POSCAR:
```
ScTcP
1.0
4.0966 0.0000 0.0000
-2.0483 3.5478 0.0000
0.0000 0.0000 3.3667
Sc Tc P
1 1 1
direct
0.0000 0.0000 0.0000
0.6667 0.3333 0.5000
0.3333 0.6667 0.5000
```

Summary:
Energy of formation (eV per atom): -0.68
Energy above the most stable polymorph in this dataset (meV/atom): 433

| no. | total magnetic moment (μB/f.u.) | calculated volume (A^3/atom) |
| --- | --- | --- |
| 1 | 3.4 | 22.81 |
| 2 | 0.0 | 16.31 |